The following is a DFT calculation (PBE+U) of a relaxed BiMoO2 crystal.

```
BiMoO2
1.0
5.830 0.000 0.000
0.000 5.830 0.000
2.915 2.915 4.661
Bi Mo O
2 2 4
direct
0.000 0.000 0.000
0.750 0.250 0.500
0.500 0.500 0.000
0.250 0.750 0.500
0.273 0.625 0.250
0.477 0.125 0.250
0.375 0.523 0.750
0.875 0.727 0.750
```

Calculated values
calculated density	7.06	g/cm³
SG	No. 122
raw total energy	-46.83	eV for the cell shown